The following is a DFT calculation (meta-GGA SCAN) of a PBEsol-optimized structure of Mn2TlTe.

Space-group type: C2/m, No. 12
Formation energy (no corrections): 0.12 eV per atom
Distance to the lowest polymorph of the same formula: 0.043 eV/atom
Calculated volume: 78 Å³/cell

Cell lengths 3.518, 4.737, 4.737 Å; angles 96.19, 95.94, 95.94 degrees
Fractional positions:
Te1 0.500 0.000 0.000
Mn1 0.000 0.500 0.000
Mn2 0.000 0.000 0.500
Tl1 0.500 0.500 0.500

---

The following is a DFT calculation (meta-GGA SCAN) of a PBEsol-optimized structure of Mn3TlTe.

Space-group type: Pm-3m, No. 221
Formation energy (no corrections): 0.52 eV per atom
Distance to the lowest polymorph of the same formula: 0.000 eV/atom
Calculated volume: 130 Å³/cell

Cell lengths 5.062, 5.062, 5.062 Å; angles 90.00, 90.00, 90.00 degrees
Fractional positions:
Tl1 0.000 0.000 0.000
Te1 0.500 0.500 0.500
Mn1 0.500 0.000 0.000
Mn2 0.000 0.500 0.000
Mn3 0.000 0.000 0.500

---

The following is a DFT calculation (meta-GGA SCAN) of a PBEsol-optimized structure of Mn2TlTe.

Space-group type: I-4m2, No. 119
Formation energy (no corrections): 0.08 eV per atom
Distance to the lowest polymorph of the same formula: 0.000 eV/atom
Calculated volume: 79 Å³/cell

Cell lengths 4.001, 4.001, 5.677 Å; angles 110.64, 110.64, 90.00 degrees
Fractional positions:
Te1 0.500 0.500 0.000
Tl1 0.250 0.750 0.500
Mn1 0.750 0.250 0.500
Mn2 0.000 0.000 0.000

---

The following is a DFT calculation (meta-GGA SCAN) of a PBEsol-optimized structure of Mn2TlTe.

Space-group type: P4/mmm, No. 123
Formation energy (no corrections): 0.17 eV per atom
Distance to the lowest polymorph of the same formula: 0.092 eV/atom
Calculated volume: 75 Å³/cell

Cell lengths 3.333, 3.333, 6.741 Å; angles 90.00, 90.00, 90.00 degrees
Fractional positions:
Mn1 0.000 0.000 0.217
Mn2 0.000 0.000 0.783
Tl1 0.500 0.500 0.500
Te1 0.500 0.500 0.000

---

The following is a DFT calculation (meta-GGA SCAN) of a PBEsol-optimized structure of Mn2TeW.

Space-group type: F-43m, No. 216
Formation energy (no corrections): 0.38 eV per atom
Calculated volume: 57 Å³/cell

Cell lengths 4.331, 4.331, 4.331 Å; angles 60.00, 60.00, 60.00 degrees
Fractional positions:
Mn1 0.000 0.000 0.000
Mn2 0.750 0.750 0.750
W1 0.250 0.250 0.250
Te1 0.500 0.500 0.500

---

The following is a DFT calculation (meta-GGA SCAN) of a PBEsol-optimized structure of Mn2TeW.

Space-group type: R-3m, No. 166
Formation energy (no corrections): 0.63 eV per atom
Calculated volume: 60 Å³/cell

Cell lengths 2.997, 2.997, 7.880 Å; angles 79.04, 79.04, 60.00 degrees
Fractional positions:
W1 0.000 0.000 0.000
Mn1 0.255 0.255 0.234
Mn2 0.745 0.745 0.766
Te1 0.500 0.500 0.500

---

The following is a DFT calculation (meta-GGA SCAN) of a PBEsol-optimized structure of Mn2TeW.

Space-group type: I-4m2, No. 119
Formation energy (no corrections): 0.27 eV per atom
Calculated volume: 58 Å³/cell

Cell lengths 3.744, 3.744, 4.909 Å; angles 112.42, 112.42, 90.00 degrees
Fractional positions:
Mn1 0.750 0.250 0.500
Mn2 0.000 0.000 0.000
Te1 0.500 0.500 0.000
W1 0.250 0.750 0.500

---

The following is a DFT calculation (meta-GGA SCAN) of a PBEsol-optimized structure of Mn3TeW.

Space-group type: Pm-3m, No. 221
Formation energy (no corrections): 1.47 eV per atom
Calculated volume: 101 Å³/cell

Cell lengths 4.651, 4.651, 4.651 Å; angles 90.00, 90.00, 90.00 degrees
Fractional positions:
Mn1 0.000 0.000 0.500
Mn2 0.000 0.500 0.000
Mn3 0.500 0.000 0.000
W1 0.500 0.500 0.500
Te1 0.000 0.000 0.000

---

The following is a DFT calculation (meta-GGA SCAN) of a PBEsol-optimized structure of Mn2TeW.

Space-group type: Immm, No. 71
Formation energy (no corrections): 0.43 eV per atom
Calculated volume: 58 Å³/cell

Cell lengths 3.325, 4.341, 4.883 Å; angles 116.40, 109.91, 90.00 degrees
Fractional positions:
Mn1 0.251 0.251 0.502
Mn2 0.749 0.749 0.498
W1 0.000 0.500 0.000
Te1 0.500 0.000 0.000

---

The following is a DFT calculation (meta-GGA SCAN) of a PBEsol-optimized structure of MnTe4W.

Space-group type: F-43m, No. 216
Formation energy (no corrections): 1.39 eV per atom
Calculated volume: 159 Å³/cell

Cell lengths 6.087, 6.087, 6.087 Å; angles 60.00, 60.00, 60.00 degrees
Fractional positions:
Te1 0.375 0.375 0.375
Te2 0.375 0.375 0.874
Te3 0.375 0.874 0.375
Te4 0.874 0.375 0.375
Mn1 0.000 0.000 0.000
W1 0.750 0.750 0.750

---

The following is a DFT calculation (meta-GGA SCAN) of a PBEsol-optimized structure of Mn2TeW.

Space-group type: P4/mmm, No. 123
Formation energy (no corrections): 0.26 eV per atom
Calculated volume: 60 Å³/cell

Cell lengths 3.292, 3.292, 5.543 Å; angles 90.00, 90.00, 90.00 degrees
Fractional positions:
Mn1 0.000 0.000 0.727
Mn2 0.000 0.000 0.273
Te1 0.500 0.500 0.000
W1 0.500 0.500 0.500

---

The following is a DFT calculation (meta-GGA SCAN) of a PBEsol-optimized structure of Y2MnTe.

Space-group type: Cmmm, No. 65
Formation energy (no corrections): -0.56 eV per atom
Calculated volume: 95 Å³/cell

Cell lengths 3.624, 5.113, 5.113 Å; angles 90.51, 90.00, 90.00 degrees
Fractional positions:
Te1 0.500 0.000 0.000
Mn1 0.500 0.500 0.500
Y1 0.000 0.500 0.000
Y2 0.000 0.000 0.500

---

The following is a DFT calculation (meta-GGA SCAN) of a PBEsol-optimized structure of Y2MnTe.

Space-group type: R-3m, No. 166
Formation energy (no corrections): -0.60 eV per atom
Calculated volume: 104 Å³/cell

Cell lengths 3.930, 3.930, 8.121 Å; angles 76.00, 76.00, 60.00 degrees
Fractional positions:
Y1 0.254 0.254 0.239
Y2 0.746 0.746 0.761
Mn1 0.000 0.000 0.000
Te1 0.500 0.500 0.500

---

The following is a DFT calculation (meta-GGA SCAN) of a PBEsol-optimized structure of MnZnTe2.

Space-group type: R3m, No. 160
Formation energy (no corrections): -0.51 eV per atom
Calculated volume: 116 Å³/cell

Cell lengths 4.346, 4.346, 7.547 Å; angles 73.27, 73.27, 60.01 degrees
Fractional positions:
Te1 0.874 0.874 0.379
Te2 0.377 0.377 0.869
Mn1 0.999 0.999 0.003
Zn1 0.500 0.500 0.499

---

The following is a DFT calculation (meta-GGA SCAN) of a PBEsol-optimized structure of MnZnTe2.

Space-group type: P4/mmm, No. 123
Formation energy (no corrections): 0.12 eV per atom
Calculated volume: 84 Å³/cell

Cell lengths 3.553, 4.875, 4.875 Å; angles 90.00, 90.00, 90.00 degrees
Fractional positions:
Mn1 0.500 0.000 0.000
Te1 0.000 0.000 0.500
Te2 0.000 0.500 0.000
Zn1 0.500 0.500 0.500

---

The following is a DFT calculation (meta-GGA SCAN) of a PBEsol-optimized structure of MnZnTe2.

Space-group type: P-4m2, No. 115
Formation energy (no corrections): -0.52 eV per atom
Calculated volume: 116 Å³/cell

Cell lengths 4.337, 4.337, 6.179 Å; angles 90.00, 90.00, 90.00 degrees
Fractional positions:
Te1 0.500 0.000 0.744
Te2 0.000 0.500 0.256
Zn1 0.500 0.500 0.500
Mn1 0.000 0.000 0.000

---

The following is a DFT calculation (meta-GGA SCAN) of a PBEsol-optimized structure of MnZn2Te.

Space-group type: C2/m, No. 12
Formation energy (no corrections): 0.07 eV per atom
Calculated volume: 71 Å³/cell

Cell lengths 3.793, 3.982, 5.139 Å; angles 98.53, 111.65, 90.00 degrees
Fractional positions:
Te1 0.000 0.500 0.000
Zn1 0.752 0.790 0.504
Zn2 0.248 0.210 0.496
Mn1 0.500 0.000 0.000

---

The following is a DFT calculation (meta-GGA SCAN) of a PBEsol-optimized structure of MnZnTe3.

Space-group type: Pm-3m, No. 221
Formation energy (no corrections): 0.49 eV per atom
Calculated volume: 140 Å³/cell

Cell lengths 5.193, 5.193, 5.193 Å; angles 90.00, 90.00, 90.00 degrees
Fractional positions:
Zn1 0.000 0.000 0.000
Te1 0.000 0.500 0.000
Te2 0.000 0.000 0.500
Te3 0.500 0.000 0.000
Mn1 0.500 0.500 0.500

---

The following is a DFT calculation (meta-GGA SCAN) of a PBEsol-optimized structure of Zr6MnTe2.

Space-group type: P-62m, No. 189
Formation energy (no corrections): -0.57 eV per atom
Calculated volume: 185 Å³/cell

Cell lengths 3.574, 7.723, 7.723 Å; angles 120.00, 90.00, 90.00 degrees
Fractional positions:
Zr1 0.500 0.000 0.241
Zr2 0.000 0.000 0.596
Zr3 0.500 0.759 0.759
Zr4 0.000 0.596 0.000
Zr5 0.000 0.404 0.404
Zr6 0.500 0.241 0.000
Mn1 0.000 0.000 0.000
Te1 0.500 0.333 0.667
Te2 0.500 0.667 0.333

---

The following is a DFT calculation (meta-GGA SCAN) of a PBEsol-optimized structure of ZrMn3Te.

Space-group type: Pm-3m, No. 221
Formation energy (no corrections): 1.04 eV per atom
Calculated volume: 104 Å³/cell

Cell lengths 4.702, 4.702, 4.702 Å; angles 90.00, 90.00, 90.00 degrees
Fractional positions:
Te1 0.500 0.500 0.500
Mn1 0.000 0.000 0.500
Mn2 0.500 0.000 0.000
Mn3 0.000 0.500 0.000
Zr1 0.000 0.000 0.000

---

The following is a DFT calculation (meta-GGA SCAN) of a PBEsol-optimized structure of Zr3MnTe.

Space-group type: Pm-3m, No. 221
Formation energy (no corrections): 0.61 eV per atom
Calculated volume: 139 Å³/cell

Cell lengths 5.185, 5.185, 5.185 Å; angles 90.00, 90.00, 90.00 degrees
Fractional positions:
Zr1 0.500 0.000 0.000
Zr2 0.000 0.500 0.000
Zr3 0.000 0.000 0.500
Mn1 0.500 0.500 0.500
Te1 0.000 0.000 0.000

---

The following is a DFT calculation (meta-GGA SCAN) of a PBEsol-optimized structure of TiMn2.

Space-group type: P6_3/mmc, No. 194
Energy relative to the elements: -216.4 meV/atom
Calculated volume: 146 Å³/cell

Cell lengths 4.673, 4.673, 7.708 Å; angles 90.00, 90.00, 120.00 degrees
Fractional positions:
Mn1 0.172 0.344 0.750
Mn2 0.344 0.172 0.250
Mn3 0.000 0.000 0.500
Mn4 0.172 0.828 0.750
Mn5 0.828 0.172 0.250
Mn6 0.656 0.828 0.750
Mn7 0.828 0.656 0.250
Mn8 0.000 0.000 0.000
Ti1 0.667 0.333 0.563
Ti2 0.333 0.667 0.063
Ti3 0.333 0.667 0.437
Ti4 0.667 0.333 0.937

---

The following is a DFT calculation (meta-GGA SCAN) of a PBEsol-optimized structure of TiMn3Tl.

Space-group type: Pm-3m, No. 221
Energy relative to the elements: 810.4 meV/atom
Calculated volume: 90 Å³/cell

Cell lengths 4.483, 4.483, 4.483 Å; angles 90.00, 90.00, 90.00 degrees
Fractional positions:
Ti1 0.000 0.000 0.000
Mn1 0.500 0.000 0.000
Mn2 0.000 0.500 0.000
Mn3 0.000 0.000 0.500
Tl1 0.500 0.500 0.500

---

The following is a DFT calculation (meta-GGA SCAN) of a PBEsol-optimized structure of Ti2MnTl.

Space-group type: Fm-3m, No. 225
Energy relative to the elements: -34.7 meV/atom
Calculated volume: 64 Å³/cell

Cell lengths 4.490, 4.490, 4.490 Å; angles 60.00, 60.00, 60.00 degrees
Fractional positions:
Ti1 0.750 0.750 0.750
Ti2 0.250 0.250 0.250
Mn1 0.000 0.000 0.000
Tl1 0.500 0.500 0.500

---

The following is a DFT calculation (meta-GGA SCAN) of a PBEsol-optimized structure of TiMn2V.

Space-group type: Fm-3m, No. 225
Energy relative to the elements: -314.6 meV/atom
Calculated volume: 48 Å³/cell

Cell lengths 4.080, 4.080, 4.080 Å; angles 60.00, 60.00, 60.00 degrees
Fractional positions:
V1 0.500 0.500 0.500
Ti1 0.000 0.000 0.000
Mn1 0.250 0.250 0.250
Mn2 0.750 0.750 0.750

---

The following is a DFT calculation (meta-GGA SCAN) of a PBEsol-optimized structure of TiMn3W.

Space-group type: Pm-3m, No. 221
Energy relative to the elements: 1537.6 meV/atom
Calculated volume: 69 Å³/cell

Cell lengths 4.101, 4.101, 4.101 Å; angles 90.00, 90.00, 90.00 degrees
Fractional positions:
Mn1 0.000 0.500 0.000
Mn2 0.500 0.000 0.000
Mn3 0.000 0.000 0.500
W1 0.500 0.500 0.500
Ti1 0.000 0.000 0.000

---

The following is a DFT calculation (meta-GGA SCAN) of a PBEsol-optimized structure of TiMn2W.

Space-group type: Fm-3m, No. 225
Energy relative to the elements: -272.0 meV/atom
Calculated volume: 51 Å³/cell

Cell lengths 4.164, 4.164, 4.164 Å; angles 60.00, 60.00, 60.00 degrees
Fractional positions:
W1 0.000 0.000 0.000
Mn1 0.750 0.750 0.750
Mn2 0.250 0.250 0.250
Ti1 0.500 0.500 0.500

---

The following is a DFT calculation (meta-GGA SCAN) of a PBEsol-optimized structure of TiMn3Zn.

Space-group type: Pm-3m, No. 221
Energy relative to the elements: 950.0 meV/atom
Calculated volume: 82 Å³/cell

Cell lengths 4.348, 4.348, 4.348 Å; angles 90.00, 90.00, 90.00 degrees
Fractional positions:
Ti1 0.000 0.000 0.000
Mn1 0.000 0.500 0.000
Mn2 0.500 0.000 0.000
Mn3 0.000 0.000 0.500
Zn1 0.500 0.500 0.500

---

The following is a DFT calculation (meta-GGA SCAN) of a PBEsol-optimized structure of MnTl.

Space-group type: Cmmm, No. 65
Energy relative to the elements: 273.1 meV/atom
Calculated volume: 39 Å³/cell

Cell lengths 3.089, 3.089, 4.415 Å; angles 90.00, 90.00, 113.07 degrees
Fractional positions:
Tl1 0.500 0.500 0.500
Mn1 0.000 0.000 0.000